Here is crystalline Nd3Y3ScS8 at its relaxed geometry from the Alexandria database. Energies are from GGA-PBE.

Cell: 7.8861 7.8861 19.6299 Å, 90.00 90.00 120.00°
Space group R-3m (No. 166, hexagonal axes)
One atom of each set of equivalent atoms:
Nd: 0.0000 0.5000 0.0000
Y: 0.0000 0.5000 0.5000
Sc: 0.0000 0.0000 0.5000
S: 0.0000 0.0000 0.2454
S: 0.0093 0.5046 0.2434

Properties
Its energy is -6.904 eV/atom.